1.
{
  "formula": "PAuBr2",
  "functional": "GGA-PBE",
  "state": "relaxed",
  "lattice_angstrom": [[3.5724, 0.0000, 0.0000], [0.0000, 4.0895, 0.0000], [0.0000, 0.0000, 7.4497]],
  "species": ["P", "Au", "Br", "Br"],
  "fractional_positions": [[0.0000, 0.0000, 0.0000], [0.5000, 0.0000, 0.5000], [0.0000, 0.5000, 0.5000], [0.5000, 0.5000, 0.0000]],
  "raw_formation_energy_mev_per_atom": 557,
  "e_above_lowest_polymorph_ev_per_atom": 0.711,
  "vol_a3_per_fu": 108.8
}



2.
{
  "formula": "PAuBr2",
  "functional": "GGA-PBE",
  "state": "relaxed",
  "lattice_angstrom": [[6.2350, 0.0000, 0.0000], [0.0000, 3.6019, 0.0000], [-1.6740, 0.0000, 6.1373]],
  "species": ["P", "Au", "Br", "Br"],
  "fractional_positions": [[0.0000, 0.0000, 0.0000], [0.0435, 0.5000, 0.7628], [0.1307, 0.5000, 0.3997], [0.6340, 0.0000, 0.9552]],
  "raw_formation_energy_mev_per_atom": -23,
  "e_above_lowest_polymorph_ev_per_atom": 0.132,
  "vol_a3_per_fu": 137.8
}



3.
{
  "formula": "Pr4PAuBr2",
  "functional": "GGA-PBE",
  "state": "relaxed",
  "lattice_angstrom": [[7.5733, 0.0000, 0.0000], [0.0000, 4.1976, 0.0000], [-2.3445, 0.0000, 7.2950]],
  "species": ["Pr", "Pr", "Pr", "Pr", "P", "Au", "Br", "Br"],
  "fractional_positions": [[0.2239, 0.0000, 0.2150], [0.2560, 0.5000, 0.7810], [0.7440, 0.5000, 0.2190], [0.7761, 0.0000, 0.7850], [0.0000, 0.5000, 0.0000], [0.5000, 0.0000, 0.0000], [0.0000, 0.0000, 0.5000], [0.5000, 0.5000, 0.5000]],
  "raw_formation_energy_mev_per_atom": -1212,
  "vol_a3_per_fu": 231.9
}



4.
{
  "formula": "Pr6P2AuBr3",
  "functional": "GGA-PBE",
  "state": "relaxed",
  "lattice_angstrom": [[9.6153, -2.1007, 0.0000], [9.6153, 2.1007, 0.0000], [-2.4683, 0.0000, 8.5958]],
  "species": ["Pr", "Pr", "Pr", "Pr", "Pr", "Pr", "P", "P", "Au", "Br", "Br", "Br"],
  "fractional_positions": [[0.0119, 0.0119, 0.2341], [0.3231, 0.3231, 0.4441], [0.3351, 0.3351, 0.8856], [0.6649, 0.6649, 0.1144], [0.6769, 0.6769, 0.5559], [0.9881, 0.9881, 0.7659], [0.1683, 0.1683, 0.3337], [0.8317, 0.8317, 0.6663], [0.5000, 0.5000, 0.0000], [0.1645, 0.1645, 0.8270], [0.5000, 0.5000, 0.5000], [0.8355, 0.8355, 0.1730]],
  "raw_formation_energy_mev_per_atom": -1306,
  "vol_a3_per_fu": 347.3
}



5.
{
  "formula": "Rb2PAuBr",
  "functional": "GGA-PBE",
  "state": "relaxed",
  "lattice_angstrom": [[6.6422, 0.0000, 0.0000], [0.0000, 6.6422, 0.0000], [0.0000, 0.0000, 4.4822]],
  "species": ["Rb", "Rb", "P", "Au", "Br"],
  "fractional_positions": [[0.0000, 0.5000, 0.0000], [0.5000, 0.0000, 0.0000], [0.0000, 0.0000, 0.0000], [0.0000, 0.0000, 0.5000], [0.5000, 0.5000, 0.5000]],
  "raw_formation_energy_mev_per_atom": -711,
  "vol_a3_per_fu": 197.7
}



6.
{
  "formula": "P2AuSBr",
  "functional": "GGA-PBE",
  "state": "relaxed",
  "lattice_angstrom": [[4.9346, 0.0000, 0.0000], [0.0000, 4.9346, 0.0000], [0.0000, 0.0000, 4.8388]],
  "species": ["P", "P", "Au", "S", "Br"],
  "fractional_positions": [[0.0000, 0.5000, 0.0000], [0.5000, 0.0000, 0.0000], [0.0000, 0.0000, 0.0000], [0.0000, 0.0000, 0.5000], [0.5000, 0.5000, 0.5000]],
  "raw_formation_energy_mev_per_atom": 1082,
  "e_above_lowest_polymorph_ev_per_atom": 0.000,
  "vol_a3_per_fu": 117.8
}



7.
{
  "formula": "PAuS2Br",
  "functional": "GGA-PBE",
  "state": "relaxed",
  "lattice_angstrom": [[4.8668, 0.0000, 0.0000], [0.0000, 4.8668, 0.0000], [0.0000, 0.0000, 5.0026]],
  "species": ["P", "Au", "S", "S", "Br"],
  "fractional_positions": [[0.0000, 0.0000, 0.0000], [0.0000, 0.0000, 0.5000], [0.0000, 0.5000, 0.5000], [0.5000, 0.0000, 0.5000], [0.5000, 0.5000, 0.0000]],
  "raw_formation_energy_mev_per_atom": 1005,
  "e_above_lowest_polymorph_ev_per_atom": 0.000,
  "vol_a3_per_fu": 118.5
}



8.
{
  "formula": "PAuSe2Br",
  "functional": "GGA-PBE",
  "state": "relaxed",
  "lattice_angstrom": [[4.8990, 0.0000, 0.0000], [0.0000, 4.8990, 0.0000], [0.0000, 0.0000, 4.9439]],
  "species": ["P", "Au", "Se", "Se", "Br"],
  "fractional_positions": [[0.0000, 0.0000, 0.0000], [0.5000, 0.5000, 0.5000], [0.0000, 0.5000, 0.0000], [0.5000, 0.0000, 0.0000], [0.0000, 0.0000, 0.5000]],
  "raw_formation_energy_mev_per_atom": 615,
  "e_above_lowest_polymorph_ev_per_atom": 0.000,
  "vol_a3_per_fu": 118.7
}



9.
{
  "formula": "PAuSe2Br",
  "functional": "GGA-PBE",
  "state": "relaxed",
  "lattice_angstrom": [[5.1505, 0.0000, 0.0000], [0.0000, 5.1505, 0.0000], [0.0000, 0.0000, 5.0942]],
  "species": ["P", "Au", "Se", "Se", "Br"],
  "fractional_positions": [[0.0000, 0.0000, 0.0000], [0.5000, 0.5000, 0.5000], [0.0000, 0.5000, 0.5000], [0.5000, 0.0000, 0.5000], [0.5000, 0.5000, 0.0000]],
  "raw_formation_energy_mev_per_atom": 922,
  "e_above_lowest_polymorph_ev_per_atom": 0.307,
  "vol_a3_per_fu": 135.1
}



10.
{
  "formula": "TePAu2Br",
  "functional": "GGA-PBE",
  "state": "relaxed",
  "lattice_angstrom": [[4.8540, 0.0000, 0.0000], [0.0000, 4.8540, 0.0000], [0.0000, 0.0000, 8.0857]],
  "species": ["Te", "P", "Au", "Au", "Br"],
  "fractional_positions": [[0.0000, 0.0000, 0.0000], [0.5000, 0.5000, 0.0000], [0.0000, 0.5000, 0.5000], [0.5000, 0.0000, 0.5000], [0.0000, 0.0000, 0.5000]],
  "raw_formation_energy_mev_per_atom": 1170,
  "vol_a3_per_fu": 190.5
}



11.
{
  "formula": "TlP2AuBr",
  "functional": "GGA-PBE",
  "state": "relaxed",
  "lattice_angstrom": [[4.8863, 0.0000, 0.0000], [0.0000, 4.8863, 0.0000], [0.0000, 0.0000, 5.9415]],
  "species": ["Tl", "P", "P", "Au", "Br"],
  "fractional_positions": [[0.0000, 0.0000, 0.0000], [0.0000, 0.5000, 0.5000], [0.5000, 0.0000, 0.5000], [0.5000, 0.5000, 0.0000], [0.0000, 0.0000, 0.5000]],
  "raw_formation_energy_mev_per_atom": 1168,
  "vol_a3_per_fu": 141.9
}



12.
{
  "formula": "ZrPAuBr2",
  "functional": "GGA-PBE",
  "state": "relaxed",
  "lattice_angstrom": [[5.2115, 0.0000, 0.0000], [0.0000, 5.2115, 0.0000], [0.0000, 0.0000, 4.7101]],
  "species": ["Zr", "P", "Au", "Br", "Br"],
  "fractional_positions": [[0.0000, 0.0000, 0.0000], [0.5000, 0.5000, 0.5000], [0.5000, 0.5000, 0.0000], [0.0000, 0.5000, 0.5000], [0.5000, 0.0000, 0.5000]],
  "raw_formation_energy_mev_per_atom": 528,
  "vol_a3_per_fu": 127.9
}